Material: Fe2NiC
Method: DFT, PBE
State: relaxed

POSCAR file:
```
Fe2NiC
1.0
1.3803 0.7969 6.1412
-1.3803 0.7969 6.1412
0.0000 -1.5938 6.1412
Fe Ni C
2 1 1
direct
0.2241 0.2241 0.2241
0.7759 0.7759 0.7759
0.0000 0.0000 0.0000
0.5000 0.5000 0.5000
```

Results
The formation energy comes out at 0.757 eV per formula unit. The magnetization comes out at 4.1 μB per formula unit. The calculation puts the density of states at the Fermi level at 1.105 states/eV/atom.